DFT (PBE with a Hubbard U) results for a geometry-optimized V3HO structure.

abc: 3.9754 3.9754 3.9754
angles: 90.00 90.00 90.00
Element x y z (fractional)
H 0.5000 0.5000 0.5000
V 0.0000 0.0000 0.5000
O 0.0000 0.0000 0.0000
V 0.0000 0.5000 0.0000
V 0.5000 0.0000 0.0000

Computed properties:
Polymorph energy (0 for the lowest one) ... 0.000 eV per atom